## Mn5CoPtN2 (PBE)

Data for crystalline Mn5CoPtN2 at its relaxed geometry.

For the mass density, the calculation gives 7.93 g/cm3. The value obtained for the uncorrected formation energy is -101 meV per atom. Its density of states at the Fermi level is 2.85 states/eV/f.u. The calculation puts the energy at -8.506 eV per atom. As for the crystal system: tetragonal.

The structure belongs to space group P4/mmm (No. 123); the cell edges are 3.9778, 3.9778 and 7.3637 Å and the angles 90.00°, 90.00° and 90.00°. The distinct sites, in fractional coordinates, are Mn at (0.0000, 0.0000, 0.0000), Mn at (0.0000, 0.5000, 0.2749), Co at (0.0000, 0.0000, 0.5000), Pt at (0.5000, 0.5000, 0.0000) and N at (0.0000, 0.0000, 0.2573).



## Mn2CoReN (PBE)

Data for crystalline Mn2CoReN at its relaxed geometry.

For the mass density, the calculation gives 11.05 g/cm3. The value obtained for the uncorrected formation energy is 62 meV per atom. Its density of states at the Fermi level is 6.27 states/eV/f.u. The calculation puts the energy at -9.182 eV per atom. As for the crystal system: tetragonal.

The structure belongs to space group P4/mmm (No. 123); the cell edges are 3.7357, 3.7357 and 3.9729 Å and the angles 90.00°, 90.00° and 90.00°. The distinct sites, in fractional coordinates, are Mn at (0.0000, 0.5000, 0.0000), Co at (0.0000, 0.0000, 0.5000), Re at (0.5000, 0.5000, 0.5000) and N at (0.5000, 0.5000, 0.0000).



## Mn2CoRhN (PBE)

Data for crystalline Mn2CoRhN at its relaxed geometry.

For the mass density, the calculation gives 8.92 g/cm3. The value obtained for the uncorrected formation energy is -17 meV per atom. Its density of states at the Fermi level is 8.23 states/eV/f.u. The calculation puts the energy at -8.241 eV per atom. As for the crystal system: tetragonal.

The structure belongs to space group P4/mmm (No. 123); the cell edges are 3.7438, 3.7438 and 3.7942 Å and the angles 90.00°, 90.00° and 90.00°. The distinct sites, in fractional coordinates, are Mn at (0.0000, 0.5000, 0.0000), Co at (0.0000, 0.0000, 0.5000), Rh at (0.5000, 0.5000, 0.5000) and N at (0.0000, 0.0000, 0.0000).